# 1
Compound: ZrTaNF2
Source: Alexandria
Functional: PBE-GGA
Structure: relaxed

a = 4.1497 Å, b = 4.1497 Å, c = 4.1287 Å
α = 90.00°, β = 90.00°, γ = 90.00°
Last column: nearest neighbours and their distance in Å.
Atoms (fractional coordinates):
Zr 0.0000 0.0000 0.0000  8 F 2.93, 4 N 2.93
Ta 0.5000 0.5000 0.5000  2 N 2.06, 4 F 2.07
N 0.5000 0.5000 0.0000  2 Ta 2.06
F 0.0000 0.5000 0.5000  2 Ta 2.07
F 0.5000 0.0000 0.5000  2 Ta 2.07

Total energy: -7.41 eV per atom
Space group: No. 123

# 2
Compound: ZrTaNF2
Source: Alexandria
Functional: PBE-GGA
Structure: relaxed

a = 4.1450 Å, b = 4.1450 Å, c = 4.4490 Å
α = 90.00°, β = 90.00°, γ = 90.00°
Last column: nearest neighbours and their distance in Å.
Atoms (fractional coordinates):
Zr 0.0000 0.0000 0.0000  4 F 2.07, 2 N 2.22
Ta 0.5000 0.5000 0.5000  4 N 2.93, 8 F 3.04
N 0.0000 0.0000 0.5000  2 Zr 2.22
F 0.0000 0.5000 0.0000  2 Zr 2.07
F 0.5000 0.0000 0.0000  2 Zr 2.07

Total energy: -7.23 eV per atom
Space group: No. 123

# 3
Compound: TcNF2
Source: Alexandria
Functional: PBE-GGA
Structure: relaxed

a = 2.6325 Å, b = 2.6325 Å, c = 23.6809 Å
α = 90.00°, β = 90.00°, γ = 120.00°
Last column: nearest neighbours and their distance in Å.
Atoms (fractional coordinates):
Tc 0.0000 0.0000 0.0000  6 F 2.23
Tc 0.3333 0.6667 0.6667  6 F 2.23
Tc 0.6667 0.3333 0.3333  6 F 2.23
N 0.0000 0.0000 0.5000  2 F 2.31
N 0.3333 0.6667 0.1667  2 F 2.31
N 0.6667 0.3333 0.8333  2 F 2.31
F 0.0000 0.0000 0.4025  3 Tc 2.23, 1 N 2.31
F 0.0000 0.0000 0.5975  3 Tc 2.23, 1 N 2.31
F 0.3333 0.6667 0.0691  3 Tc 2.23, 1 N 2.31
F 0.3333 0.6667 0.2642  3 Tc 2.23, 1 N 2.31
F 0.6667 0.3333 0.7358  3 Tc 2.23, 1 N 2.31
F 0.6667 0.3333 0.9309  3 Tc 2.23, 1 N 2.31

Total energy: -4.87 eV per atom
Space group: No. 166

# 4
Compound: TcNF3
Source: Alexandria
Functional: PBE-GGA
Structure: relaxed

a = 3.9370 Å, b = 3.9370 Å, c = 3.9370 Å
α = 90.00°, β = 90.00°, γ = 90.00°
Last column: nearest neighbours and their distance in Å.
Atoms (fractional coordinates):
Tc 0.0000 0.0000 0.0000  12 F 2.78
N 0.5000 0.5000 0.5000  6 F 1.97
F 0.0000 0.5000 0.5000  2 N 1.97
F 0.5000 0.0000 0.5000  2 N 1.97
F 0.5000 0.5000 0.0000  2 N 1.97

Total energy: -4.22 eV per atom
Space group: No. 221

# 5
Compound: Tc3NF
Source: Alexandria
Functional: PBE-GGA
Structure: relaxed

a = 4.0360 Å, b = 4.0360 Å, c = 4.0360 Å
α = 90.00°, β = 90.00°, γ = 90.00°
Last column: nearest neighbours and their distance in Å.
Atoms (fractional coordinates):
Tc 0.0000 0.0000 0.5000  2 N 2.02
Tc 0.0000 0.5000 0.0000  2 N 2.02
Tc 0.5000 0.0000 0.0000  2 N 2.02
N 0.0000 0.0000 0.0000  6 Tc 2.02
F 0.5000 0.5000 0.5000  12 Tc 2.85

Total energy: -7.80 eV per atom
Space group: No. 221

# 6
Compound: TcN3F
Source: Alexandria
Functional: PBE-GGA
Structure: relaxed

a = 3.8609 Å, b = 3.8609 Å, c = 3.8609 Å
α = 90.00°, β = 90.00°, γ = 90.00°
Last column: nearest neighbours and their distance in Å.
Atoms (fractional coordinates):
Tc 0.0000 0.0000 0.0000  6 N 1.93
N 0.0000 0.0000 0.5000  2 Tc 1.93
N 0.0000 0.5000 0.0000  2 Tc 1.93
N 0.5000 0.0000 0.0000  2 Tc 1.93
F 0.5000 0.5000 0.5000  12 N 2.73

Total energy: -6.46 eV per atom
Space group: No. 221

# 7
Compound: TcN2F
Source: Alexandria
Functional: PBE-GGA
Structure: relaxed

a = 5.1769 Å, b = 5.1769 Å, c = 5.1769 Å
α = 90.00°, β = 90.00°, γ = 90.00°
Last column: nearest neighbours and their distance in Å.
Atoms (fractional coordinates):
Tc 0.0000 0.0000 0.0000  8 N 2.24
Tc 0.0000 0.5000 0.5000  8 N 2.24
Tc 0.5000 0.0000 0.5000  8 N 2.24
Tc 0.5000 0.5000 0.0000  8 N 2.24
N 0.2500 0.2500 0.2500  4 F 2.24, 4 Tc 2.24
N 0.2500 0.2500 0.7500  4 F 2.24, 4 Tc 2.24
N 0.2500 0.7500 0.2500  4 F 2.24, 4 Tc 2.24
N 0.2500 0.7500 0.7500  4 F 2.24, 4 Tc 2.24
N 0.7500 0.2500 0.2500  4 F 2.24, 4 Tc 2.24
N 0.7500 0.2500 0.7500  4 F 2.24, 4 Tc 2.24
N 0.7500 0.7500 0.2500  4 F 2.24, 4 Tc 2.24
N 0.7500 0.7500 0.7500  4 F 2.24, 4 Tc 2.24
F 0.0000 0.0000 0.5000  8 N 2.24
F 0.0000 0.5000 0.0000  8 N 2.24
F 0.5000 0.0000 0.0000  8 N 2.24
F 0.5000 0.5000 0.5000  8 N 2.24

Total energy: -5.99 eV per atom
Space group: No. 225

# 8
Compound: TcN2F
Source: Alexandria
Functional: PBE-GGA
Structure: relaxed

a = 5.2748 Å, b = 5.2748 Å, c = 8.5586 Å
α = 90.00°, β = 90.00°, γ = 90.00°
Last column: nearest neighbours and their distance in Å.
Atoms (fractional coordinates):
Tc 0.0000 0.0000 0.0000  4 N 1.82
Tc 0.0000 0.5000 0.2500  4 N 1.82
Tc 0.5000 0.0000 0.7500  4 N 1.82
Tc 0.5000 0.5000 0.5000  4 N 1.82
N 0.1235 0.2500 0.1250  2 Tc 1.82
N 0.2500 0.6235 0.3750  2 Tc 1.82
N 0.2500 0.8765 0.8750  2 Tc 1.82
N 0.3765 0.2500 0.6250  2 Tc 1.82
N 0.6235 0.7500 0.6250  2 Tc 1.82
N 0.7500 0.1235 0.8750  2 Tc 1.82
N 0.7500 0.3765 0.3750  2 Tc 1.82
N 0.8765 0.7500 0.1250  2 Tc 1.82
F 0.0000 0.0000 0.5000  4 N 2.61
F 0.0000 0.5000 0.7500  4 N 2.61
F 0.5000 0.0000 0.2500  4 N 2.61
F 0.5000 0.5000 0.0000  4 N 2.61

Total energy: -6.99 eV per atom
Space group: No. 122

# 9
Compound: TcNF2
Source: Alexandria
Functional: PBE-GGA
Structure: relaxed

a = 5.6448 Å, b = 5.6448 Å, c = 5.6448 Å
α = 90.00°, β = 90.00°, γ = 90.00°
Last column: nearest neighbours and their distance in Å.
Atoms (fractional coordinates):
Tc 0.0000 0.0000 0.0000  8 F 2.44
Tc 0.0000 0.5000 0.5000  8 F 2.44
Tc 0.5000 0.0000 0.5000  8 F 2.44
Tc 0.5000 0.5000 0.0000  8 F 2.44
N 0.0000 0.0000 0.5000  8 F 2.44
N 0.0000 0.5000 0.0000  8 F 2.44
N 0.5000 0.0000 0.0000  8 F 2.44
N 0.5000 0.5000 0.5000  8 F 2.44
F 0.2500 0.2500 0.2500  4 Tc 2.44, 4 N 2.44
F 0.2500 0.2500 0.7500  4 Tc 2.44, 4 N 2.44
F 0.2500 0.7500 0.2500  4 Tc 2.44, 4 N 2.44
F 0.2500 0.7500 0.7500  4 Tc 2.44, 4 N 2.44
F 0.7500 0.2500 0.2500  4 Tc 2.44, 4 N 2.44
F 0.7500 0.2500 0.7500  4 Tc 2.44, 4 N 2.44
F 0.7500 0.7500 0.2500  4 Tc 2.44, 4 N 2.44
F 0.7500 0.7500 0.7500  4 Tc 2.44, 4 N 2.44

Total energy: -5.13 eV per atom
Space group: No. 225

# 10
Compound: TcNF2
Source: Alexandria
Functional: PBE-GGA
Structure: relaxed

a = 2.6608 Å, b = 2.6608 Å, c = 27.8776 Å
α = 90.00°, β = 90.00°, γ = 120.00°
Last column: nearest neighbours and their distance in Å.
Atoms (fractional coordinates):
Tc 0.0000 0.0000 0.0000  2 F 1.87
Tc 0.3333 0.6667 0.6667  2 F 1.87
Tc 0.6667 0.3333 0.3333  2 F 1.87
N 0.0000 0.0000 0.5000  6 N 2.66
N 0.3333 0.6667 0.1667  6 N 2.66
N 0.6667 0.3333 0.8333  6 N 2.66
F 0.0000 0.0000 0.0672  1 Tc 1.87
F 0.0000 0.0000 0.9328  1 Tc 1.87
F 0.3333 0.6667 0.5995  1 Tc 1.87
F 0.3333 0.6667 0.7339  1 Tc 1.87
F 0.6667 0.3333 0.2661  1 Tc 1.87
F 0.6667 0.3333 0.4005  1 Tc 1.87

Total energy: -5.16 eV per atom
Space group: No. 166

# 11
Compound: TcN2F
Source: Alexandria
Functional: PBE-GGA
Structure: relaxed

a = 2.9347 Å, b = 2.9347 Å, c = 17.5393 Å
α = 90.00°, β = 90.00°, γ = 120.00°
Last column: nearest neighbours and their distance in Å.
Atoms (fractional coordinates):
Tc 0.0000 0.0000 0.0000  6 N 2.04
Tc 0.3333 0.6667 0.6667  6 N 2.04
Tc 0.6667 0.3333 0.3333  6 N 2.04
N 0.0000 0.0000 0.3983  1 F 1.78
N 0.0000 0.0000 0.6017  1 F 1.78
N 0.3333 0.6667 0.0649  1 F 1.78
N 0.3333 0.6667 0.2684  1 F 1.78
N 0.6667 0.3333 0.7316  1 F 1.78
N 0.6667 0.3333 0.9351  1 F 1.78
F 0.0000 0.0000 0.5000  2 N 1.78
F 0.3333 0.6667 0.1667  2 N 1.78
F 0.6667 0.3333 0.8333  2 N 1.78

Total energy: -6.80 eV per atom
Space group: No. 166

# 12
Compound: TcNF2
Source: Alexandria
Functional: PBE-GGA
Structure: relaxed

a = 3.1656 Å, b = 3.1656 Å, c = 15.4809 Å
α = 90.00°, β = 90.00°, γ = 90.00°
Last column: nearest neighbours and their distance in Å.
Atoms (fractional coordinates):
Tc 0.0000 0.0000 0.0000  4 F 2.21, 4 N 2.24
Tc 0.0000 0.5000 0.2500  4 F 2.21, 4 N 2.24
Tc 0.5000 0.0000 0.7500  4 F 2.21, 4 N 2.24
Tc 0.5000 0.5000 0.5000  4 F 2.21, 4 N 2.24
N 0.0000 0.0000 0.5000  4 Tc 2.24, 4 F 2.26
N 0.0000 0.5000 0.7500  4 Tc 2.24, 4 F 2.26
N 0.5000 0.0000 0.2500  4 Tc 2.24, 4 F 2.26
N 0.5000 0.5000 0.0000  4 Tc 2.24, 4 F 2.26
F 0.2284 0.2500 0.1250  4 F 2.14-2.34, 2 Tc 2.21, 2 N 2.26
F 0.2500 0.7284 0.3750  4 F 2.14-2.34, 2 Tc 2.21, 2 N 2.26
F 0.2500 0.7716 0.8750  4 F 2.14-2.34, 2 Tc 2.21, 2 N 2.26
F 0.2716 0.2500 0.6250  4 F 2.14-2.34, 2 Tc 2.21, 2 N 2.26
F 0.7284 0.7500 0.6250  4 F 2.14-2.34, 2 Tc 2.21, 2 N 2.26
F 0.7500 0.2284 0.8750  4 F 2.14-2.34, 2 Tc 2.21, 2 N 2.26
F 0.7500 0.2716 0.3750  4 F 2.14-2.34, 2 Tc 2.21, 2 N 2.26
F 0.7716 0.7500 0.1250  4 F 2.14-2.34, 2 Tc 2.21, 2 N 2.26

Total energy: -5.58 eV per atom
Space group: No. 122

# 13
Compound: TcNF3
Source: Alexandria
Functional: PBE-GGA
Structure: relaxed

a = 3.9964 Å, b = 3.9964 Å, c = 3.9964 Å
α = 90.00°, β = 90.00°, γ = 90.00°
Last column: nearest neighbours and their distance in Å.
Atoms (fractional coordinates):
Tc 0.0000 0.0000 0.0000  6 F 2.00
N 0.5000 0.5000 0.5000  12 F 2.83
F 0.0000 0.0000 0.5000  2 Tc 2.00
F 0.0000 0.5000 0.0000  2 Tc 2.00
F 0.5000 0.0000 0.0000  2 Tc 2.00

Total energy: -4.67 eV per atom
Space group: No. 221

# 14
Compound: TcNF
Source: Alexandria
Functional: PBE-GGA
Structure: relaxed

a = 5.5829 Å, b = 3.0270 Å, c = 10.8473 Å
α = 90.00°, β = 90.00°, γ = 90.00°
Last column: nearest neighbours and their distance in Å.
Atoms (fractional coordinates):
Tc 0.0269 0.2500 0.0935  3 N 1.90-1.99
Tc 0.4731 0.7500 0.5935  3 N 1.90-1.99
Tc 0.5269 0.2500 0.4065  3 N 1.90-1.99
Tc 0.9731 0.7500 0.9065  3 N 1.90-1.99
N 0.2194 0.7500 0.0273  3 Tc 1.90-1.99
N 0.2806 0.2500 0.5273  3 Tc 1.90-1.99
N 0.7194 0.7500 0.4727  3 Tc 1.90-1.99
N 0.7806 0.2500 0.9727  3 Tc 1.90-1.99
F 0.1121 0.2500 0.7839  2 Tc 2.16
F 0.3879 0.7500 0.2839  2 Tc 2.16
F 0.6121 0.2500 0.7161  2 Tc 2.16
F 0.8879 0.7500 0.2161  2 Tc 2.16

Total energy: -7.45 eV per atom
Space group: No. 62

# 15
Compound: TcTe2NF
Source: Alexandria
Functional: PBE-GGA
Structure: relaxed

a = 5.3269 Å, b = 5.3269 Å, c = 3.6775 Å
α = 90.00°, β = 90.00°, γ = 90.00°
Last column: nearest neighbours and their distance in Å.
Atoms (fractional coordinates):
Tc 0.0000 0.0000 0.0000  2 N 1.84
Te 0.0000 0.5000 0.0000  2 Tc 2.66
Te 0.5000 0.0000 0.0000  2 Tc 2.66
N 0.0000 0.0000 0.5000  2 Tc 1.84
F 0.5000 0.5000 0.5000  8 Te 3.24

Total energy: -5.28 eV per atom
Space group: No. 123

# 16
Compound: TcTeNF2
Source: Alexandria
Functional: PBE-GGA
Structure: relaxed

a = 4.3755 Å, b = 4.3755 Å, c = 3.8216 Å
α = 90.00°, β = 90.00°, γ = 90.00°
Last column: nearest neighbours and their distance in Å.
Atoms (fractional coordinates):
Tc 0.0000 0.0000 0.0000  2 N 1.91
Te 0.5000 0.5000 0.5000  8 F 2.90, 4 N 3.09
N 0.0000 0.0000 0.5000  2 Tc 1.91
F 0.0000 0.5000 0.0000  2 Tc 2.19
F 0.5000 0.0000 0.0000  2 Tc 2.19

Total energy: -5.35 eV per atom
Space group: No. 123

# 17
Compound: TcTe2NF
Source: Alexandria
Functional: PBE-GGA
Structure: relaxed

a = 4.8720 Å, b = 4.8720 Å, c = 3.7336 Å
α = 90.00°, β = 90.00°, γ = 90.00°
Last column: nearest neighbours and their distance in Å.
Atoms (fractional coordinates):
Tc 0.0000 0.0000 0.0000  8 Te 3.07
Te 0.0000 0.5000 0.5000  2 F 2.44
Te 0.5000 0.0000 0.5000  2 F 2.44
N 0.5000 0.5000 0.0000  2 F 1.87
F 0.5000 0.5000 0.5000  2 N 1.87

Total energy: -4.05 eV per atom
Space group: No. 123

# 18
Compound: TcTeNF2
Source: Alexandria
Functional: PBE-GGA
Structure: relaxed

a = 4.5907 Å, b = 4.5907 Å, c = 4.1346 Å
α = 90.00°, β = 90.00°, γ = 90.00°
Last column: nearest neighbours and their distance in Å.
Atoms (fractional coordinates):
Tc 0.0000 0.0000 0.0000  8 F 3.09, 4 N 3.25
Te 0.5000 0.5000 0.5000  2 N 2.07, 4 F 2.30
N 0.5000 0.5000 0.0000  2 Te 2.07
F 0.0000 0.5000 0.5000  2 Te 2.30
F 0.5000 0.0000 0.5000  2 Te 2.30

Total energy: -4.65 eV per atom
Space group: No. 123

# 19
Compound: TiTcNF2
Source: Alexandria
Functional: PBE-GGA
Structure: relaxed

a = 3.9913 Å, b = 3.9913 Å, c = 4.0261 Å
α = 90.00°, β = 90.00°, γ = 90.00°
Last column: nearest neighbours and their distance in Å.
Atoms (fractional coordinates):
Ti 0.0000 0.0000 0.0000  4 F 2.00, 2 N 2.01
Tc 0.5000 0.5000 0.5000  4 N 2.82, 8 F 2.83
N 0.0000 0.0000 0.5000  2 Ti 2.01
F 0.0000 0.5000 0.0000  2 Ti 2.00
F 0.5000 0.0000 0.0000  2 Ti 2.00

Total energy: -6.93 eV per atom
Space group: No. 123

# 20
Compound: TiTcN2F
Source: Alexandria
Functional: PBE-GGA
Structure: relaxed

a = 4.0017 Å, b = 4.0017 Å, c = 3.7814 Å
α = 90.00°, β = 90.00°, γ = 90.00°
Last column: nearest neighbours and their distance in Å.
Atoms (fractional coordinates):
Ti 0.0000 0.0000 0.0000  2 F 1.89, 4 N 2.00
Tc 0.5000 0.5000 0.5000  8 N 2.75, 4 F 2.83
N 0.0000 0.5000 0.0000  2 Ti 2.00
N 0.5000 0.0000 0.0000  2 Ti 2.00
F 0.0000 0.0000 0.5000  2 Ti 1.89

Total energy: -7.51 eV per atom
Space group: No. 123

# 21
Compound: TiTcN2F
Source: Alexandria
Functional: PBE-GGA
Structure: relaxed

a = 3.8951 Å, b = 3.8951 Å, c = 3.9615 Å
α = 90.00°, β = 90.00°, γ = 90.00°
Last column: nearest neighbours and their distance in Å.
Atoms (fractional coordinates):
Ti 0.0000 0.0000 0.0000  4 F 2.75, 8 N 2.78
Tc 0.5000 0.5000 0.5000  4 N 1.95, 2 F 1.98
N 0.0000 0.5000 0.5000  2 Tc 1.95
N 0.5000 0.0000 0.5000  2 Tc 1.95
F 0.5000 0.5000 0.0000  2 Tc 1.98

Total energy: -7.38 eV per atom
Space group: No. 123

# 22
Compound: TiTcNF2
Source: Alexandria
Functional: PBE-GGA
Structure: relaxed

a = 4.1520 Å, b = 4.1520 Å, c = 3.8648 Å
α = 90.00°, β = 90.00°, γ = 90.00°
Last column: nearest neighbours and their distance in Å.
Atoms (fractional coordinates):
Ti 0.0000 0.0000 0.0000  8 F 2.84, 4 N 2.94
Tc 0.5000 0.5000 0.5000  2 N 1.93, 4 F 2.08
N 0.5000 0.5000 0.0000  2 Tc 1.93
F 0.0000 0.5000 0.5000  2 Tc 2.08
F 0.5000 0.0000 0.5000  2 Tc 2.08

Total energy: -6.55 eV per atom
Space group: No. 123

no.,formation energy without anion corrections (kJ/mol of formula units)
1,-444
2,-356
3,287
4,307
5,221
6,473
7,477
8,91
9,185
10,173
11,165
12,10
13,92
14,-173
15,41
16,-114
17,634
18,223
19,-415
20,-76
21,-13
22,-231